Entry 1:
## La2Al12Cu7 (PBE)

Data for an optimized crystal structure of La2Al12Cu7.

The space group is P-3 (No. 147) and the conventional cell measures 10.0867, 10.0867 and 4.0332 Å, with angles of 90.00, 90.00 and 120.00 degrees. The distinct sites, in fractional coordinates, are La at (0.3333, 0.6667, 0.2590), Al at (0.0524, 0.4330, 0.7508), Al at (0.1190, 0.2651, 0.2558), Cu at (0.0000, 0.0000, 0.5000) and Cu at (0.1123, 0.7072, 0.7568).

The calculated formation energy comes out at -311 meV/atom. As for the total energy: -4.2847 eV per atom. The value obtained for the magnetization is 0.00 μB per formula unit. As for the crystal system: trigonal.

=====

Entry 2:
## La3Al3Cu2 (PBE)

Data for an optimized crystal structure of La3Al3Cu2.

The space group is Pnma (No. 62) and the conventional cell measures 8.5051, 15.4763 and 5.6799 Å, with angles of 90.00, 90.00 and 90.00 degrees. The distinct sites, in fractional coordinates, are La at (0.0461, 0.1115, 0.1122), La at (0.1979, 0.2500, 0.5739), Al at (0.1540, 0.7500, 0.5627), Al at (0.1855, 0.0334, 0.6144) and Cu at (0.1002, 0.6006, 0.3764).

The calculated formation energy comes out at -333 meV/atom. As for the total energy: -4.6080 eV per atom. The value obtained for the magnetization is 0.00 μB per formula unit. As for the crystal system: orthorhombic.

=====

Entry 3:
## LaAlCu5 (PBE)

Data for an optimized crystal structure of LaAlCu5.

The space group is Pnma (No. 62) and the conventional cell measures 8.2042, 5.1322 and 10.4133 Å, with angles of 90.00, 90.00 and 90.00 degrees. The distinct sites, in fractional coordinates, are La at (0.2398, 0.2500, 0.0564), Al at (0.1495, 0.7500, 0.8561), Cu at (0.0657, 0.0048, 0.3061), Cu at (0.0684, 0.7500, 0.0957), Cu at (0.0941, 0.2500, 0.5147) and Cu at (0.1781, 0.2500, 0.7546).

The calculated formation energy comes out at -242 meV/atom. As for the total energy: -4.4062 eV per atom. The value obtained for the magnetization is 0.00 μB per formula unit. As for the crystal system: orthorhombic.

=====

Entry 4:
## LaAl2Cu4 (PBE)

Data for an optimized crystal structure of LaAl2Cu4.

The space group is I4/mmm (No. 139) and the conventional cell measures 6.5220, 6.5220 and 5.2723 Å, with angles of 90.00, 90.00 and 90.00 degrees. The distinct sites, in fractional coordinates, are La at (0.0000, 0.0000, 0.0000), Al at (0.0000, 0.5000, 0.2500) and Cu at (0.1899, 0.1899, 0.5000).

The calculated formation energy comes out at -307 meV/atom. As for the total energy: -4.4211 eV per atom. The value obtained for the magnetization is 0.00 μB per formula unit. As for the crystal system: tetragonal.

=====

Entry 5:
## LaAl2Cu5 (PBE)

Data for an optimized crystal structure of LaAl2Cu5.

The space group is Immm (No. 71) and the conventional cell measures 3.9787, 6.6997 and 9.9829 Å, with angles of 90.00, 90.00 and 90.00 degrees. The distinct sites, in fractional coordinates, are La at (0.0000, 0.0000, 0.0000), Al at (0.0000, 0.5000, 0.2429), Cu at (0.0000, 0.1821, 0.3699) and Cu at (0.0000, 0.5000, 0.0000).

The calculated formation energy comes out at -185 meV/atom. As for the total energy: -4.2964 eV per atom. The value obtained for the magnetization is 0.00 μB per formula unit. As for the crystal system: orthorhombic.

=====

Entry 6:
## La3Al3Cu8 (PBE)

Data for an optimized crystal structure of La3Al3Cu8.

The space group is Immm (No. 71) and the conventional cell measures 4.3225, 8.9966 and 13.0341 Å, with angles of 90.00, 90.00 and 90.00 degrees. The distinct sites, in fractional coordinates, are La at (0.0000, 0.0000, 0.0000), La at (0.0000, 0.0000, 0.2935), Al at (0.0000, 0.2004, 0.5000), Al at (0.0000, 0.5000, 0.0000), Cu at (0.0000, 0.2869, 0.1278) and Cu at (0.0000, 0.3530, 0.3377).

The calculated formation energy comes out at -267 meV/atom. As for the total energy: -4.4658 eV per atom. The value obtained for the magnetization is 0.00 μB per formula unit. As for the crystal system: orthorhombic.